*1*
MgBeP2 | GGA-PBE | optimized geometry

The structure belongs to space group Cmmm (No. 65); the cell edges are 5.1759, 6.6272 and 3.4056 Å and the angles 90.00°, 90.00° and 90.00°. Symmetry generates all atoms from Mg at (0.0000, 0.0000, 0.0000), Be at (0.0000, 0.5000, 0.0000) and P at (0.2500, 0.2500, 0.5000).



*2*
MgBeP2 | GGA-PBE | optimized geometry

The structure belongs to space group Fm-3m (No. 225); the cell edges are 6.1865, 6.1865 and 6.1865 Å and the angles 90.00°, 90.00° and 90.00°. Symmetry generates all atoms from Mg at (0.0000, 0.0000, 0.0000), Be at (0.0000, 0.0000, 0.5000) and P at (0.2500, 0.2500, 0.2500).



Order from most stable to least stable according to the calculation: *1*, *2*



*1*
Mg2BeP | GGA-PBE | optimized geometry

The structure belongs to space group F-43m (No. 216); the cell edges are 6.4670, 6.4670 and 6.4670 Å and the angles 90.00°, 90.00° and 90.00°. Symmetry generates all atoms from Mg at (0.0000, 0.0000, 0.0000), Mg at (0.2500, 0.2500, 0.2500), Be at (0.0000, 0.0000, 0.5000) and P at (0.2500, 0.2500, 0.7500).



*2*
Mg2BeP | GGA-PBE | optimized geometry

The structure belongs to space group Cmmm (No. 65); the cell edges are 5.7253, 6.0461 and 3.6555 Å and the angles 90.00°, 90.00° and 90.00°. Symmetry generates all atoms from Mg at (0.2500, 0.2500, 0.0000), Be at (0.0000, 0.0000, 0.5000) and P at (0.0000, 0.5000, 0.5000).



*3*
Mg2BeP | GGA-PBE | optimized geometry

The structure belongs to space group P1 (No. 1); the cell edges are 4.2487, 4.2679 and 9.0386 Å and the angles 82.39°, 81.57° and 61.44°. Symmetry generates all atoms from Mg at (0.0000, 0.0000, 0.0000), Mg at (0.1441, 0.0496, 0.3343), Mg at (0.4225, 0.3739, 0.5689), Mg at (0.6949, 0.6664, 0.8086), Be at (0.3286, 0.3325, 0.0697), Be at (0.6470, 0.6503, 0.0864), P at (0.0660, 0.0197, 0.6679) and P at (0.4933, 0.3959, 0.2856).



*4*
Mg2BeP | GGA-PBE | optimized geometry

The structure belongs to space group I-42d (No. 122); the cell edges are 4.0979, 4.0979 and 17.2498 Å and the angles 90.00°, 90.00° and 90.00°. Symmetry generates all atoms from Mg at (0.2416, 0.2500, 0.1250), Be at (0.0000, 0.0000, 0.0000) and P at (0.0000, 0.0000, 0.5000).



Order from most stable to least stable according to the calculation: *3*, *2*, *4*, *1*



*1*
Mg2BeP | GGA-PBE | optimized geometry

The structure belongs to space group R-3m (No. 166, hexagonal axes); the cell edges are 3.0761, 3.0761 and 24.3237 Å and the angles 90.00°, 90.00° and 120.00°. Symmetry generates all atoms from Mg at (0.0000, 0.0000, 0.2472), Be at (0.0000, 0.0000, 0.5000) and P at (0.0000, 0.0000, 0.0000).



*2*
Mg2BeP | GGA-PBE | optimized geometry

The structure belongs to space group P4mm (No. 99); the cell edges are 3.2024, 3.2024 and 6.6196 Å and the angles 90.00°, 90.00° and 90.00°. Symmetry generates all atoms from Mg at (0.0000, 0.0000, 0.0000), Mg at (0.5000, 0.5000, 0.3371), Be at (0.5000, 0.5000, 0.7149) and P at (0.0000, 0.0000, 0.6136).



Order from most stable to least stable according to the calculation: *2*, *1*



*1*
Mg2BeP | GGA-PBE | optimized geometry

The structure belongs to space group C2/m (No. 12); the cell edges are 5.5883, 5.6178 and 4.8459 Å and the angles 90.00°, 124.87° and 90.00°. Symmetry generates all atoms from Mg at (0.0000, 0.2497, 0.0000), Be at (0.0000, 0.0000, 0.5000) and P at (0.0000, 0.5000, 0.5000).



*2*
Mg2BeP | GGA-PBE | optimized geometry

The structure belongs to space group C2/m (No. 12); the cell edges are 8.4294, 3.9073 and 8.4644 Å and the angles 90.00°, 94.46° and 90.00°. Symmetry generates all atoms from Mg at (0.0000, 0.0000, 0.0000), Mg at (0.0000, 0.0000, 0.5000), Mg at (0.1905, 0.5000, 0.2419), Be at (0.2064, 0.5000, 0.9398) and P at (0.1081, 0.5000, 0.6896).



Order from most stable to least stable according to the calculation: *2*, *1*